Below is a geometry-optimized ZrMnCo3 structure, with properties calculated at the PBE level.

Structure (POSCAR):
```
ZrMnCo3
1.0
4.1821 0.0000 0.0000
0.0000 4.1821 0.0000
0.0000 0.0000 4.1821
Zr Mn Co
1 1 3
Direct
0.0000 0.0000 0.0000
0.5000 0.5000 0.5000
0.0000 0.5000 0.5000
0.5000 0.0000 0.5000
0.5000 0.5000 0.0000
```

Output
Its offset from the most stable computed form is 0.000 eV per atom. The calculation puts the formation energy at 0.610 eV per atom. For the spin magnetization, the calculation gives 0.00 μB/cell. As for the calculated density: 7.332 Mg/m³.

Below is a geometry-optimized PaZnIn structure, with properties calculated at the PBE level.

Structure (POSCAR):
```
PaZnIn
1.0
0.0000 3.3275 3.3275
3.3275 0.0000 3.3275
3.3275 3.3275 0.0000
Pa Zn In
1 1 1
Direct
0.0000 0.0000 0.0000
0.2500 0.2500 0.2500
0.5000 0.5000 0.5000
```

Output
The calculation puts the formation energy at 0.178 eV per atom. For the spin magnetization, the calculation gives 0.81 μB/cell. As for the calculated density: 9.268 Mg/m³.

Below is a geometry-optimized Ta2CuOs structure, with properties calculated at the PBE level.

Structure (POSCAR):
```
Ta2CuOs
1.0
0.0000 3.1549 3.1549
3.1549 0.0000 3.1549
3.1549 3.1549 0.0000
Ta Cu Os
2 1 1
Direct
0.0000 0.0000 0.0000
0.2500 0.2500 0.2500
0.5000 0.5000 0.5000
0.7500 0.7500 0.7500
```

Output
The calculation puts the formation energy at 0.125 eV per atom. For the spin magnetization, the calculation gives 0.19 μB/cell. As for the calculated density: 16.278 Mg/m³.

Below is a geometry-optimized VFe2Ni2 structure, with properties calculated at the PBE level.

Structure (POSCAR):
```
VFe2Ni2
1.0
-1.6837 1.6837 5.5725
1.6837 -1.6837 5.5725
1.6837 1.6837 -5.5725
V Fe Ni
1 2 2
Direct
0.0000 0.0000 0.0000
0.2500 0.7500 0.5000
0.7500 0.2500 0.5000
0.4008 0.4008 0.0000
0.5992 0.5992 0.0000
```

Output
Its offset from the most stable computed form is 0.184 eV per atom. The calculation puts the formation energy at 0.266 eV per atom. For the spin magnetization, the calculation gives 3.50 μB/cell. As for the calculated density: 7.358 Mg/m³.

Below is a geometry-optimized LaSiHg2 structure, with properties calculated at the PBE level.

Structure (POSCAR):
```
LaSiHg2
1.0
3.7244 0.0000 0.0000
0.0000 3.7244 0.0000
0.0000 0.0000 7.0954
La Si Hg
1 1 2
Direct
0.0000 0.0000 0.0000
0.5000 0.5000 0.2666
0.0000 0.0000 0.4703
0.5000 0.5000 0.7026
```

Output
For the spin magnetization, the calculation gives 0.00 μB/cell. As for the energy relative to the elements, uncorrected: -0.10 eV/atom. As for the calculated density: 9.586 Mg/m³.

Below is a geometry-optimized Y3ReW structure, with properties calculated at the PBE level.

Structure (POSCAR):
```
Y3ReW
1.0
5.2924 0.0000 0.0000
0.0000 5.2924 0.0000
0.0000 0.0000 5.2924
Y Re W
3 1 1
Direct
0.0000 0.0000 0.5000
0.0000 0.5000 0.0000
0.5000 0.0000 0.0000
0.5000 0.5000 0.5000
0.0000 0.0000 0.0000
```

Output
Its offset from the most stable computed form is 0.276 eV per atom. The calculation puts the formation energy at 1.450 eV per atom. For the spin magnetization, the calculation gives 3.06 μB/cell. As for the calculated density: 7.133 Mg/m³.

Below is a geometry-optimized PuOF2 structure, with properties calculated at the PBE level.

Structure (POSCAR):
```
PuOF2
1.0
-4.4702 4.4702 2.0512
4.4702 -4.4702 2.0512
4.4702 4.4702 -2.0512
Pu O F
2 2 4
Direct
0.0000 0.0000 0.0000
0.7500 0.2500 0.5000
0.2500 0.7500 0.5000
0.5000 0.5000 0.0000
0.3750 0.1365 0.2615
0.8635 0.1250 0.2385
0.8750 0.1135 0.7385
0.8865 0.6250 0.7615
```

Output
Its offset from the most stable computed form is 0.057 eV per atom. For the spin magnetization, the calculation gives 8.00 μB/cell. As for the energy relative to the elements, uncorrected: -3.23 eV/atom. As for the calculated density: 6.036 Mg/m³.

Below is a geometry-optimized Ce4Sb3S structure, with properties calculated at the PBE level.

Structure (POSCAR):
```
Ce4Sb3S
1.0
2.1842 1.2611 14.3789
-2.1842 1.2611 14.3789
0.0000 -2.5221 14.3789
Ce Sb S
4 3 1
Direct
0.1225 0.1225 0.1225
0.3678 0.3678 0.3678
0.6322 0.6322 0.6322
0.8775 0.8775 0.8775
0.2544 0.2544 0.2544
0.5000 0.5000 0.5000
0.7456 0.7456 0.7456
0.0000 0.0000 0.0000
```

Output
For the spin magnetization, the calculation gives 3.54 μB/cell. As for the energy relative to the elements, uncorrected: -1.26 eV/atom. As for the calculated density: 6.693 Mg/m³.

Below is a geometry-optimized BaPdS structure, with properties calculated at the PBE level.

Structure (POSCAR):
```
BaPdS
1.0
5.0868 0.0000 0.0000
0.0000 5.0868 0.0000
0.0000 0.0000 6.0694
Ba Pd S
2 2 2
Direct
0.2500 0.2500 0.1929
0.7500 0.7500 0.8071
0.2500 0.2500 0.6866
0.7500 0.7500 0.3134
0.2500 0.7500 0.5000
0.7500 0.2500 0.5000
```

Output
For the spin magnetization, the calculation gives 0.00 μB/cell. As for the energy relative to the elements, uncorrected: -0.71 eV/atom. As for the calculated density: 5.832 Mg/m³.

Below is a geometry-optimized BaH4Cl2O2 structure, with properties calculated at the PBE level.

Structure (POSCAR):
```
BaH4Cl2O2
1.0
6.1010 0.0000 0.0000
0.0000 11.3797 0.0000
-0.0998 0.0000 8.3789
Ba H Cl O
4 16 8 8
Direct
0.1409 0.1740 0.1695
0.1409 0.3260 0.6695
0.8591 0.6740 0.3305
0.8591 0.8260 0.8305
0.2392 0.0451 0.5600
0.2392 0.4549 0.0600
0.3528 0.0744 0.8365
0.3528 0.4256 0.3365
0.4040 0.1172 0.4593
0.4040 0.3828 0.9593
0.4515 0.6560 0.6213
0.4515 0.8440 0.1213
0.5485 0.1560 0.8787
0.5485 0.3440 0.3787
0.5960 0.6172 0.0407
0.5960 0.8828 0.5407
0.6472 0.5744 0.6635
0.6472 0.9256 0.1635
0.7608 0.5451 0.9400
0.7608 0.9549 0.4400
0.1150 0.6098 0.6587
0.1150 0.8902 0.1587
0.3412 0.5971 0.2185
0.3412 0.9029 0.7185
0.6588 0.0971 0.2815
0.6588 0.4029 0.7815
0.8850 0.1098 0.8413
0.8850 0.3902 0.3413
0.2507 0.1188 0.4975
0.2507 0.3812 0.9975
0.3859 0.1530 0.8818
0.3859 0.3470 0.3818
0.6141 0.6530 0.6182
0.6141 0.8470 0.1182
0.7493 0.6188 0.0025
0.7493 0.8812 0.5025
```

Output
Its offset from the most stable computed form is 0.015 eV per atom. For the spin magnetization, the calculation gives 0.00 μB/cell. As for the calculated density: 2.789 Mg/m³.

Below is a geometry-optimized Pr4CdHg3 structure, with properties calculated at the PBE level.

Structure (POSCAR):
```
Pr4CdHg3
1.0
3.7749 0.0000 0.0000
0.0000 5.0154 0.0000
0.0000 0.0000 12.3997
Pr Cd Hg
4 1 3
Direct
0.0000 0.0000 0.0000
0.0000 0.5000 0.3007
0.5000 0.0000 0.4967
0.5000 0.5000 0.8038
0.0000 0.0000 0.7241
0.0000 0.5000 0.5747
0.5000 0.0000 0.2278
0.5000 0.5000 0.0727
```

Output
Its offset from the most stable computed form is 0.046 eV per atom. The calculation puts the formation energy at -0.388 eV per atom. For the spin magnetization, the calculation gives 0.00 μB/cell. As for the calculated density: 9.038 Mg/m³.

Below is a geometry-optimized TaCS2 structure, with properties calculated at the PBE level.

Structure (POSCAR):
```
TaCS2
1.0
1.6387 0.9461 6.4914
-1.6387 0.9461 6.4914
0.0000 -1.8922 6.4914
Ta C S
1 1 2
Direct
0.0000 0.0000 0.0000
0.5000 0.5000 0.5000
0.4179 0.4179 0.4179
0.5821 0.5821 0.5821
```

Output
For the spin magnetization, the calculation gives 0.00 μB/cell. As for the energy relative to the elements, uncorrected: 0.41 eV/atom. As for the calculated density: 7.070 Mg/m³.

Below is a geometry-optimized Pm2PrIrN4 structure, with properties calculated at the PBE level.

Structure (POSCAR):
```
Pm2PrIrN4
1.0
1.7479 -6.0252 0.0000
1.7479 6.0252 0.0000
0.0000 0.0000 11.9353
Pm Pr Ir N
4 2 2 8
Direct
0.1310 0.8690 0.5442
0.1310 0.8690 0.9558
0.8690 0.1310 0.0442
0.8690 0.1310 0.4558
0.3867 0.6133 0.7500
0.6133 0.3867 0.2500
0.3514 0.6486 0.2500
0.6486 0.3514 0.7500
0.0552 0.9448 0.7500
0.2267 0.7733 0.1327
0.2267 0.7733 0.3673
0.5000 0.5000 0.0000
0.5000 0.5000 0.5000
0.7733 0.2267 0.6327
0.7733 0.2267 0.8673
0.9448 0.0552 0.2500
```

Output
For the spin magnetization, the calculation gives 0.00 μB/cell. As for the energy relative to the elements, uncorrected: -0.80 eV/atom. As for the calculated density: 8.972 Mg/m³.

Below is a geometry-optimized Sc2TaAu structure, with properties calculated at the PBE level.

Structure (POSCAR):
```
Sc2TaAu
1.0
-1.6509 2.4112 5.0365
1.6509 -2.4112 5.0365
1.6509 2.4112 -5.0365
Sc Ta Au
2 1 1
Direct
0.0000 0.0000 0.0000
0.7256 0.2256 0.5000
0.2523 0.7523 0.5000
0.4853 0.4853 0.0000
```

Output
Its offset from the most stable computed form is 0.151 eV per atom. The calculation puts the formation energy at -0.147 eV per atom. For the spin magnetization, the calculation gives 0.00 μB/cell. As for the calculated density: 9.687 Mg/m³.

Below is a geometry-optimized Ba4Y2Cu5PdO14 structure, with properties calculated at the PBE level.

Structure (POSCAR):
```
Ba4Y2Cu5PdO14
1.0
3.8346 0.0000 0.0000
0.0000 3.9386 0.0000
0.0000 0.0000 23.9512
Ba Y Cu Pd O
4 2 5 1 14
Direct
0.0000 0.0000 0.0892
0.0000 0.0000 0.4054
0.0000 0.0000 0.5946
0.0000 0.0000 0.9108
0.0000 0.0000 0.2472
0.0000 0.0000 0.7528
0.5000 0.5000 0.0000
0.5000 0.5000 0.1745
0.5000 0.5000 0.3197
0.5000 0.5000 0.6803
0.5000 0.5000 0.8255
0.5000 0.5000 0.5000
0.0000 0.5000 0.1881
0.0000 0.5000 0.3065
0.0000 0.5000 0.6935
0.0000 0.5000 0.8119
0.5000 0.0000 0.0000
0.5000 0.0000 0.1871
0.5000 0.0000 0.3080
0.5000 0.0000 0.5000
0.5000 0.0000 0.6920
0.5000 0.0000 0.8129
0.5000 0.5000 0.0784
0.5000 0.5000 0.4146
0.5000 0.5000 0.5854
0.5000 0.5000 0.9216
```

Output
Its offset from the most stable computed form is 0.000 eV per atom. For the spin magnetization, the calculation gives 0.00 μB/cell. As for the energy relative to the elements, uncorrected: -1.79 eV/atom. As for the calculated density: 6.313 Mg/m³.

Below is a geometry-optimized Pu2ScGa3Pt4 structure, with properties calculated at the PBE level.

Structure (POSCAR):
```
Pu2ScGa3Pt4
1.0
4.1232 0.0000 0.0000
0.0000 4.1232 0.0000
0.0000 0.0000 11.4811
Pu Sc Ga Pt
2 1 3 4
Direct
0.0000 0.5000 0.2407
0.5000 0.0000 0.7593
0.0000 0.0000 0.5000
0.0000 0.5000 0.8700
0.5000 0.0000 0.1300
0.5000 0.5000 0.5000
0.0000 0.0000 0.0000
0.0000 0.5000 0.6512
0.5000 0.0000 0.3488
0.5000 0.5000 0.0000
```

Output
The calculation puts the formation energy at -0.821 eV per atom. For the spin magnetization, the calculation gives 11.23 μB/cell. As for the calculated density: 12.952 Mg/m³.

Below is a geometry-optimized Ag2HBrO structure, with properties calculated at the PBE level.

Structure (POSCAR):
```
Ag2HBrO
1.0
4.6091 0.0000 0.0000
0.0000 4.6091 0.0000
0.0000 0.0000 4.2419
Ag H Br O
2 1 1 1
Direct
0.0000 0.5000 0.0000
0.5000 0.0000 0.0000
0.0000 0.0000 0.3518
0.5000 0.5000 0.5691
0.0000 0.0000 0.1215
```

Output
For the spin magnetization, the calculation gives 0.00 μB/cell. As for the electronic total energy: -17.685 eV/cell. As for the calculated density: 5.761 Mg/m³.

Below is a geometry-optimized Ce2Sm2Si4Rh structure, with properties calculated at the PBE level.

Structure (POSCAR):
```
Ce2Sm2Si4Rh
1.0
-3.5542 3.5542 4.0324
3.5542 -3.5542 4.0324
3.5542 3.5542 -4.0324
Ce Sm Si Rh
2 2 4 1
Direct
0.1701 0.1701 0.0000
0.8299 0.8299 0.0000
0.2500 0.7500 0.5000
0.7500 0.2500 0.5000
0.2600 0.2600 0.5201
0.2600 0.7400 0.0000
0.7400 0.2600 0.0000
0.7400 0.7400 0.4799
0.5000 0.5000 0.0000
```

Output
For the spin magnetization, the calculation gives 1.25 μB/cell. As for the energy relative to the elements, uncorrected: -0.44 eV/atom. As for the calculated density: 6.489 Mg/m³.

Below is a geometry-optimized Er3NiHg structure, with properties calculated at the PBE level.

Structure (POSCAR):
```
Er3NiHg
1.0
4.8417 -7.0840 0.0000
4.8417 7.0840 0.0000
0.0000 0.0000 3.8243
Er Ni Hg
6 2 2
Direct
0.1786 0.8214 0.0000
0.1809 0.4263 0.5000
0.4263 0.1809 0.5000
0.5737 0.8191 0.5000
0.8191 0.5737 0.5000
0.8214 0.1786 0.0000
0.0000 0.5000 0.0000
0.5000 0.0000 0.0000
0.0000 0.0000 0.5000
0.5000 0.5000 0.0000
```

Output
Its offset from the most stable computed form is 0.088 eV per atom. The calculation puts the formation energy at -0.280 eV per atom. For the spin magnetization, the calculation gives 0.00 μB/cell. As for the calculated density: 9.635 Mg/m³.

Below is a geometry-optimized LuThAs structure, with properties calculated at the PBE level.

Structure (POSCAR):
```
LuThAs
1.0
-1.8491 1.8491 5.7651
1.8491 -1.8491 5.7651
1.8491 1.8491 -5.7651
Lu Th As
1 1 1
Direct
0.0000 0.0000 0.0000
0.2864 0.2864 0.0000
0.6289 0.6289 0.0000
```

Output
The calculation puts the formation energy at -0.639 eV per atom. For the spin magnetization, the calculation gives 0.00 μB/cell. As for the calculated density: 10.149 Mg/m³.

Below is a geometry-optimized TcSbS2N structure, with properties calculated at the PBE level.

Structure (POSCAR):
```
TcSbS2N
1.0
5.0762 0.0000 0.0000
0.0000 5.0762 0.0000
0.0000 0.0000 3.8998
Tc Sb S N
1 1 2 1
Direct
0.0000 0.0000 0.0000
0.5000 0.5000 0.5000
0.0000 0.5000 0.5000
0.5000 0.0000 0.5000
0.5000 0.5000 0.0000
```

Output
Its offset from the most stable computed form is 1.040 eV per atom. For the spin magnetization, the calculation gives 4.73 μB/cell. As for the energy relative to the elements, uncorrected: 1.27 eV/atom. As for the calculated density: 4.923 Mg/m³.

Below is a geometry-optimized Ba2USiS6 structure, with properties calculated at the PBE level.

Structure (POSCAR):
```
Ba2USiS6
1.0
3.5211 2.0329 5.6581
-3.5211 2.0329 5.6581
0.0000 -4.0658 5.6581
Ba U Si S
2 1 1 6
Direct
0.2489 0.2489 0.2489
0.7511 0.7511 0.7511
0.5000 0.5000 0.5000
0.0000 0.0000 0.0000
0.1963 0.7644 0.2772
0.2356 0.7228 0.8037
0.2772 0.1963 0.7644
0.7228 0.8037 0.2356
0.7644 0.2772 0.1963
0.8037 0.2356 0.7228
```

Output
For the spin magnetization, the calculation gives 2.02 μB/cell. As for the energy relative to the elements, uncorrected: -1.41 eV/atom. As for the calculated density: 5.010 Mg/m³.

Below is a geometry-optimized YMgSn2 structure, with properties calculated at the PBE level.

Structure (POSCAR):
```
YMgSn2
1.0
4.7472 0.0000 0.0000
0.0000 4.7472 0.0000
0.0000 0.0000 4.3976
Y Mg Sn
1 1 2
Direct
0.0000 0.0000 0.0000
0.5000 0.5000 0.0000
0.0000 0.5000 0.5000
0.5000 0.0000 0.5000
```

Output
The calculation puts the formation energy at -0.498 eV per atom. For the spin magnetization, the calculation gives 0.00 μB/cell. As for the calculated density: 5.875 Mg/m³.